[1]
A geometry-optimized EuTmAgRu structure. Source: Alexandria via LeMat-Bulk, functional PBE-GGA.

abc: 7.064 7.064 7.064
angles: 90.00 90.00 90.00
Space group F-43m (No. 216)
Asymmetric unit:
Eu (0.000, 0.000, 0.000)
Tm (0.000, 0.000, 0.500)
Ag (0.250, 0.250, 0.250)
Ru (0.250, 0.250, 0.750)

Results
As for the calculated formation energy: -0.149 eV/atom. For the total energy, the calculation gives -109.881 eV/cell.

---

[2]
A geometry-optimized EuAgS2 structure. Source: Alexandria via LeMat-Bulk, functional PBE-GGA.

abc: 4.771 4.771 3.553
angles: 90.00 90.00 90.00
Space group P4/mmm (No. 123)
Asymmetric unit:
Eu (0.000, 0.000, 0.000)
Ag (0.500, 0.500, 0.000)
S (0.000, 0.500, 0.500)

Results
The calculation puts the formation energy from raw total energies at -0.88 eV per atom. For the total energy, the calculation gives -24.882 eV/cell.